Density functional theory data (GGA-PBE) for crystalline La2AlInFe at its relaxed geometry.

The structure belongs to space group P4/mmm (No. 123); the cell edges are 5.188, 5.188 and 4.808 Å and the angles 90.00°, 90.00° and 90.00°. The inequivalent atoms are La at (0.000, 0.500, 0.000), Al at (0.000, 0.000, 0.500), In at (0.500, 0.500, 0.500) and Fe at (0.000, 0.000, 0.000).

Its energy is -26.0 eV/cell. The value obtained for the formation energy is -0.23 eV/atom.